Entry 1:
! CdPd3 | the Alexandria database | PBEsol | optimized geometry; values from VASP
! SG ... I4/mmm
! Energy of formation ... -25 kJ per mole of atoms
&SYSTEM
  ibrav = 0, nat = 4, ntyp = 2
/
ATOMIC_SPECIES
Pd 106.42 Pd.upf
Cd 112.41 Cd.upf
ATOMIC_POSITIONS angstrom
Pd -1.0827 -0.5654 2.5135
Pd 0.7473 -2.3278 1.3518
Pd 1.6039 0.1645 2.2815
Cd 0.0000 0.0000 0.0000
CELL_PARAMETERS angstrom
-0.2261 1.9269 3.4432
-1.9394 -3.0577 1.5839
4.5166 -1.0325 -1.3938

---

Entry 2:
! CsNa3Li | the Alexandria database | PBEsol | optimized geometry; values from VASP
! SG ... Pm-3m
! Energy of formation ... 9 kJ per mole of atoms
&SYSTEM
  ibrav = 0, nat = 5, ntyp = 3
/
ATOMIC_SPECIES
Na 22.99 Na.upf
Li 6.94 Li.upf
Cs 132.91 Cs.upf
ATOMIC_POSITIONS angstrom
Na 3.0812 0.0000 0.0000
Na 0.0000 3.0812 0.0000
Na 0.0000 0.0000 3.0812
Li 0.0000 0.0000 0.0000
Cs 3.0812 3.0812 3.0812
CELL_PARAMETERS angstrom
6.1624 0.0000 0.0000
0.0000 6.1624 0.0000
0.0000 0.0000 6.1624

---

Entry 3:
! YSc2Ni | the Alexandria database | PBEsol | optimized geometry; values from VASP
! SG ... Pmmm
! Energy of formation ... 1 kJ per mole of atoms
&SYSTEM
  ibrav = 0, nat = 4, ntyp = 3
/
ATOMIC_SPECIES
Y 88.91 Y.upf
Ni 58.69 Ni.upf
Sc 44.96 Sc.upf
ATOMIC_POSITIONS angstrom
Y 1.8280 0.0000 2.3894
Ni 0.0000 2.3415 2.3894
Sc 0.0000 0.0000 0.0000
Sc 1.8280 2.3415 0.0000
CELL_PARAMETERS angstrom
3.6560 0.0000 0.0000
0.0000 4.6831 0.0000
0.0000 0.0000 4.7788

---

Entry 4:
! ScI2NO | the Alexandria database | PBEsol | optimized geometry; values from VASP
! SG ... P4/mmm
! Raw formation energy ... 44.9 kJ per mole of atoms
&SYSTEM
  ibrav = 0, nat = 5, ntyp = 4
/
ATOMIC_SPECIES
Sc 44.96 Sc.upf
I 126.90 I.upf
O 16.00 O.upf
N 14.01 N.upf
ATOMIC_POSITIONS angstrom
Sc 1.8868 2.4150 2.4150
I 0.0000 2.4150 0.0000
I 0.0000 0.0000 2.4150
O 1.8868 0.0000 0.0000
N 0.0000 0.0000 0.0000
CELL_PARAMETERS angstrom
3.7736 0.0000 0.0000
0.0000 4.8300 0.0000
0.0000 0.0000 4.8300

---

Entry 5:
! YAgPt4 | the Alexandria database | PBEsol | optimized geometry; values from VASP
! SG ... F-43m
! Energy of formation ... -68 kJ per mole of atoms
&SYSTEM
  ibrav = 0, nat = 6, ntyp = 3
/
ATOMIC_SPECIES
Ag 107.87 Ag.upf
Pt 195.08 Pt.upf
Y 88.91 Y.upf
ATOMIC_POSITIONS angstrom
Ag 0.0000 0.0000 0.0000
Pt 0.8285 -6.4418 3.0258
Pt 0.8779 -4.6297 1.0953
Pt 2.7358 -6.5144 1.1901
Pt 0.2466 -7.1406 0.5386
Y 1.7583 -9.2725 2.1936
CELL_PARAMETERS angstrom
-0.0985 -3.6090 3.8448
-1.2574 -5.0007 -1.1088
3.7002 -3.7536 0.1888

---

Entry 6:
! Cr2O3 | the Alexandria database | PBEsol | optimized geometry; values from VASP
! SG ... R-3
! Raw formation energy ... -176.4 kJ per mole of atoms
&SYSTEM
  ibrav = 0, nat = 10, ntyp = 2
/
ATOMIC_SPECIES
O 16.00 O.upf
Cr 52.00 Cr.upf
ATOMIC_POSITIONS angstrom
O -2.4101 1.5400 3.7533
O -4.9306 0.9610 3.3277
O -3.2846 -1.2331 4.6343
O -2.6259 0.4114 6.5659
O -5.1463 -0.1676 6.1402
O -4.2718 2.6055 5.2592
Cr -5.6060 0.3563 7.9722
Cr 0.0000 0.0000 0.0000
Cr -3.7782 0.6862 4.9468
Cr -1.9505 1.0161 1.9213
CELL_PARAMETERS angstrom
-1.1168 3.0507 3.8432
-4.7968 0.6795 1.3614
-1.6429 -2.3578 4.6889